The following is a DFT calculation (PBE with a Hubbard U) of crystalline TiMnO2 at its relaxed geometry.

The calculation puts the electronic total energy at -33.0 eV/f.u. Its energy above the lowest structure with this stoichiometry is 0.038 eV per atom. The value obtained for the density of states at the Fermi level is 0.50 states/eV/atom.

It has space group Cmc2_1 (No. 36), with a = 2.871 Å, b = 11.849 Å, c = 5.239 Å, α = 90.00°, β = 90.00° and γ = 90.00°. The distinct sites, in fractional coordinates, are Ti at (0.000, 0.058, 0.000), Mn at (0.000, 0.323, 0.951), O at (0.000, 0.312, 0.548) and O at (0.000, 0.462, 0.196).